The following is a PBE with a Hubbard U calculation of crystalline Mg6NbCrO8 at its relaxed geometry, from the Alexandria database.

Summary:
ΔE to the lowest computed polymorph = 34.1 meV/atom
E_tot = -6.416 eV per atom
D(E_F) = 0.208 states/eV per atom

The structure in POSCAR format:
```
Mg6NbCrO8
1.0
-3.363 2.057 1.699
-2.483 -3.412 -0.784
2.048 -3.353 8.111
Mg Nb Cr O
6 1 1 8
direct
0.500 0.500 0.000 Mg
0.500 0.500 0.500 Mg
0.000 0.500 0.255 Mg
0.000 0.500 0.745 Mg
0.500 0.000 0.255 Mg
0.500 0.000 0.745 Mg
0.000 0.000 0.000 Nb
0.000 0.000 0.500 Cr
0.000 0.000 0.248 O
0.000 0.000 0.752 O
0.500 0.500 0.250 O
0.500 0.500 0.750 O
0.000 0.500 0.000 O
0.000 0.500 0.500 O
0.500 0.000 0.000 O
0.500 0.000 0.500 O
```